(1)
# Na3La2PuSe6

An optimized crystal structure of Na3La2PuSe6 (PBE-GGA, Alexandria).

Unit cell a=7.5154 b=13.0166 c=7.3847 alpha=90.00 beta=109.83 gamma=90.00
With the nearest neighbours (Å) after each atom.
Space group C2/m (No. 12)
Asymmetric unit:
Na (0.0000, 0.0000, 0.0000)  6 Se 3.08-3.16
Na (0.0000, 0.3337, 0.0000)  6 Se 3.08-3.15
La (0.0000, 0.1666, 0.5000)  6 Se 3.01-3.02
Pu (0.0000, 0.5000, 0.5000)  6 Se 2.94-2.95
Se (0.2416, 0.3371, 0.7358)  1 Pu 2.95, 2 La 3.02, 3 Na 3.08-3.15
Se (0.2476, 0.5000, 0.2657)  1 Pu 2.94, 2 La 3.01, 3 Na 3.09-3.16

Properties
For the formation energy (no corrections), the calculation gives -1.62 eV/atom.

---

(2)
# Na2LaPuSe4

An optimized crystal structure of Na2LaPuSe4 (PBE-GGA, Alexandria).

Unit cell a=7.3848 b=4.3059 c=7.4684 alpha=90.00 beta=109.89 gamma=90.00
With the nearest neighbours (Å) after each atom.
Space group P2/m (No. 10)
Asymmetric unit:
Na (0.0000, 0.0000, 0.0000)  6 Se 3.06-3.07
Na (0.0000, 0.5000, 0.5000)  6 Se 3.13
La (0.5000, 0.0000, 0.5000)  6 Se 3.00-3.01
Pu (0.5000, 0.5000, 0.0000)  6 Se 2.93-2.95
Se (0.2627, 0.5000, 0.2474)  1 Pu 2.95, 2 La 3.00, 3 Na 3.06-3.13
Se (0.2692, 0.0000, 0.7643)  2 Pu 2.93, 1 La 3.01, 3 Na 3.07-3.13

Properties
For the formation energy (no corrections), the calculation gives -1.57 eV/atom.

---

(3)
# NaLa2Pu3Te6

An optimized crystal structure of NaLa2Pu3Te6 (PBE-GGA, Alexandria).

Unit cell a=19.7112 b=4.4985 c=9.0712 alpha=90.00 beta=103.77 gamma=90.00
With the nearest neighbours (Å) after each atom.
Space group C2/m (No. 12)
Asymmetric unit:
Na (0.0000, 0.0000, 0.0000)  6 Te 3.21-3.22
La (0.1654, 0.5000, 0.3315)  6 Te 3.21-3.25
Pu (0.0000, 0.0000, 0.5000)  6 Te 3.16
Pu (0.1666, 0.5000, 0.8333)  6 Te 3.15-3.17
Te (0.0021, 0.5000, 0.7465)  3 Pu 3.15-3.16, 1 La 3.21, 2 Na 3.22
Te (0.1648, 0.0000, 0.5889)  3 Pu 3.15-3.16, 3 La 3.24-3.25
Te (0.1677, 0.0000, 0.0771)  3 Pu 3.15-3.17, 1 Na 3.21, 2 La 3.23

Properties
For the formation energy (no corrections), the calculation gives -1.26 eV/atom.

---

(4)
# Na4La3PuTe8

An optimized crystal structure of Na4La3PuTe8 (PBE-GGA, Alexandria).

Unit cell a=9.2431 b=9.2431 c=22.4574 alpha=90.00 beta=90.00 gamma=120.00
With the nearest neighbours (Å) after each atom.
Space group R-3m (No. 166, hexagonal axes)
Asymmetric unit:
Na (0.0000, 0.0000, 0.0000)  6 Te 3.35
Na (0.0000, 0.5000, 0.0000)  6 Te 3.29
La (0.0000, 0.5000, 0.5000)  6 Te 3.23
Pu (0.0000, 0.0000, 0.5000)  6 Te 3.17
Te (0.0000, 0.0000, 0.2476)  3 La 3.23, 3 Na 3.29
Te (0.0060, 0.5030, 0.2463)  1 Pu 3.17, 2 La 3.23, 3 Na 3.29-3.35

Properties
For the formation energy (no corrections), the calculation gives -1.30 eV/atom.

---

(5)
# Na3LaPu2Te6

An optimized crystal structure of Na3LaPu2Te6 (PBE-GGA, Alexandria).

Unit cell a=7.8851 b=13.6569 c=7.9325 alpha=90.00 beta=109.38 gamma=90.00
With the nearest neighbours (Å) after each atom.
Space group C2/m (No. 12)
Asymmetric unit:
Na (0.0000, 0.0000, 0.0000)  6 Te 3.23-3.31
Na (0.0000, 0.3354, 0.0000)  6 Te 3.25-3.32
La (0.0000, 0.5000, 0.5000)  6 Te 3.22-3.23
Pu (0.0000, 0.1669, 0.5000)  6 Te 3.14-3.15
Te (0.2373, 0.0000, 0.7370)  2 Pu 3.15, 1 La 3.23, 3 Na 3.23-3.29
Te (0.2501, 0.1709, 0.2636)  2 Pu 3.14, 1 La 3.22, 3 Na 3.25-3.32

Properties
For the formation energy (no corrections), the calculation gives -1.15 eV/atom.

---

(6)
# Na3La2PuTe6

An optimized crystal structure of Na3La2PuTe6 (PBE-GGA, Alexandria).

Unit cell a=7.9906 b=13.8364 c=7.9398 alpha=90.00 beta=109.60 gamma=90.00
With the nearest neighbours (Å) after each atom.
Space group C2/m (No. 12)
Asymmetric unit:
Na (0.0000, 0.0000, 0.0000)  6 Te 3.28-3.35
Na (0.0000, 0.3325, 0.0000)  6 Te 3.28-3.33
La (0.0000, 0.1665, 0.5000)  6 Te 3.23
Pu (0.0000, 0.5000, 0.5000)  6 Te 3.16-3.17
Te (0.2431, 0.3366, 0.7395)  1 Pu 3.17, 2 La 3.23, 3 Na 3.28-3.33
Te (0.2470, 0.5000, 0.2613)  1 Pu 3.16, 2 La 3.23, 3 Na 3.29-3.35

Properties
For the formation energy (no corrections), the calculation gives -1.27 eV/atom.

---

Question: The highest formation energy (no corrections) belongs to which entry?
Answer: Na3LaPu2Te6